[1]
Hf2TlNi2 | PBE-GGA | optimized geometry

Calculated values
The calculation puts the energy of formation at -0.068 eV/atom. Its total DFT energy (no corrections) is -6.83 eV per atom.

```
data_Hf2TlNi2
_cell_length_a 3.352
_cell_length_b 3.352
_cell_length_c 16.695
_cell_angle_alpha 90.00
_cell_angle_beta 90.00
_cell_angle_gamma 90.00
_space_group_name_H-M_alt 'I 4/m m m'
_space_group_IT_number 139
_space_group_name_Hall '-I 4 2'
loop_
_atom_site_label
_atom_site_type_symbol
_atom_site_fract_x
_atom_site_fract_y
_atom_site_fract_z
Hf1 Hf 0.000 0.000 0.130
Tl1 Tl 0.000 0.000 0.500
Ni1 Ni 0.000 0.500 0.250
```


[2]
Cr2SiPAu | PBE-GGA | optimized geometry

Calculated values
The calculation puts the offset from the most stable computed form at 0.119 eV/f.u. Its total DFT energy (no corrections) is -6.75 eV per atom.

```
data_Cr2SiPAu
_cell_length_a 6.842
_cell_length_b 3.972
_cell_length_c 5.590
_cell_angle_alpha 90.00
_cell_angle_beta 96.82
_cell_angle_gamma 90.00
_space_group_name_H-M_alt 'C 1 m 1'
_space_group_IT_number 8
loop_
_space_group_symop_operation_xyz
'x,y,z'
'x,-y,z'
'x+1/2,y+1/2,z'
'x+1/2,-y+1/2,z'
loop_
_atom_site_label
_atom_site_type_symbol
_atom_site_fract_x
_atom_site_fract_y
_atom_site_fract_z
Cr1 Cr 0.000 0.000 0.000
Cr2 Cr 0.150 0.500 0.855
Si1 Si 0.204 0.500 0.274
P1 P 0.317 0.000 0.834
Au1 Au 0.072 0.000 0.475
```


[3]
KCo2Cu | PBE-GGA | optimized geometry

Calculated values
The calculation puts the energy of formation at 1.334 eV/atom. The calculation puts the offset from the most stable computed form at 3.220 eV/f.u. Its total DFT energy (no corrections) is -3.52 eV per atom.

```
data_KCo2Cu
_cell_length_a 6.384
_cell_length_b 6.384
_cell_length_c 6.384
_cell_angle_alpha 90.00
_cell_angle_beta 90.00
_cell_angle_gamma 90.00
_space_group_name_H-M_alt 'F m -3 m'
_space_group_IT_number 225
_space_group_name_Hall '-F 4 2 3'
loop_
_atom_site_label
_atom_site_type_symbol
_atom_site_fract_x
_atom_site_fract_y
_atom_site_fract_z
K1 K 0.000 0.000 0.000
Co1 Co 0.250 0.250 0.250
Cu1 Cu 0.000 0.000 0.500
```


[4]
Ac4GeAs2Br | PBE-GGA | optimized geometry

Calculated values
Its total DFT energy (no corrections) is -5.32 eV per atom.

```
data_Ac4GeAs2Br
_cell_length_a 7.875
_cell_length_b 4.564
_cell_length_c 7.899
_cell_angle_alpha 90.00
_cell_angle_beta 109.15
_cell_angle_gamma 90.00
_space_group_name_H-M_alt 'P 1 2/m 1'
_space_group_IT_number 10
loop_
_space_group_symop_operation_xyz
'x,y,z'
'-x,-y,-z'
'-x,y,-z'
'x,-y,z'
loop_
_atom_site_label
_atom_site_type_symbol
_atom_site_fract_x
_atom_site_fract_y
_atom_site_fract_z
Ac1 Ac 0.232 0.000 0.235
Ac2 Ac 0.242 0.500 0.755
Ge1 Ge 0.000 0.000 0.500
As1 As 0.000 0.500 0.000
As2 As 0.500 0.000 0.000
Br1 Br 0.500 0.500 0.500
```


[5]
CdSb2Cl | PBE-GGA | optimized geometry

Calculated values
The calculation puts the offset from the most stable computed form at 1.592 eV/f.u. Its total DFT energy (no corrections) is -2.64 eV per atom.

```
data_CdSb2Cl
_cell_length_a 5.462
_cell_length_b 5.462
_cell_length_c 3.375
_cell_angle_alpha 90.00
_cell_angle_beta 90.00
_cell_angle_gamma 90.00
_space_group_name_H-M_alt 'P 4/m m m'
_space_group_IT_number 123
_space_group_name_Hall '-P 4 2'
loop_
_atom_site_label
_atom_site_type_symbol
_atom_site_fract_x
_atom_site_fract_y
_atom_site_fract_z
Cd1 Cd 0.000 0.000 0.000
Sb1 Sb 0.000 0.500 0.500
Cl1 Cl 0.500 0.500 0.000
```


[6]
TlCoTc2 | PBE-GGA | optimized geometry

Calculated values
The calculation puts the energy of formation at 0.759 eV/atom. The calculation puts the offset from the most stable computed form at 1.408 eV/f.u. Its total DFT energy (no corrections) is -6.79 eV per atom.

```
data_TlCoTc2
_cell_length_a 6.285
_cell_length_b 6.285
_cell_length_c 6.285
_cell_angle_alpha 90.00
_cell_angle_beta 90.00
_cell_angle_gamma 90.00
_space_group_name_H-M_alt 'F m -3 m'
_space_group_IT_number 225
_space_group_name_Hall '-F 4 2 3'
loop_
_atom_site_label
_atom_site_type_symbol
_atom_site_fract_x
_atom_site_fract_y
_atom_site_fract_z
Tl1 Tl 0.000 0.000 0.000
Co1 Co 0.000 0.000 0.500
Tc1 Tc 0.250 0.250 0.250
```


[7]
Ca2TmCd6 | PBE-GGA | optimized geometry

Calculated values
The calculation puts the energy of formation at -0.313 eV/atom. Its total DFT energy (no corrections) is -1.86 eV per atom.

```
data_Ca2TmCd6
_cell_length_a 8.6582
_cell_length_b 8.6582
_cell_length_c 3.5025
_cell_angle_alpha 90.00
_cell_angle_beta 90.00
_cell_angle_gamma 120.00
_space_group_name_H-M_alt 'P 6/m m m'
_space_group_IT_number 191
_space_group_name_Hall '-P 6 2'
loop_
_atom_site_label
_atom_site_type_symbol
_atom_site_fract_x
_atom_site_fract_y
_atom_site_fract_z
Ca1 Ca 0.3333 0.6667 0.0000
Tm1 Tm 0.0000 0.0000 0.0000
Cd1 Cd 0.0000 0.3319 0.5000
```


[8]
DyHo3Er2 | PBE-GGA | optimized geometry

Calculated values
The calculation puts the energy of formation at 0.075 eV/atom. The calculation puts the offset from the most stable computed form at 0.461 eV/f.u. Its total DFT energy (no corrections) is -4.50 eV per atom.

```
data_DyHo3Er2
_cell_length_a 5.563
_cell_length_b 8.848
_cell_length_c 8.848
_cell_angle_alpha 65.60
_cell_angle_beta 71.74
_cell_angle_gamma 71.73
_space_group_name_H-M_alt 'P -1'
_space_group_IT_number 2
loop_
_space_group_symop_operation_xyz
'x,y,z'
'-x,-y,-z'
loop_
_atom_site_label
_atom_site_type_symbol
_atom_site_fract_x
_atom_site_fract_y
_atom_site_fract_z
Dy1 Dy 0.125 0.376 0.375
Ho1 Ho 0.000 0.167 0.834
Ho2 Ho 0.250 0.918 0.583
Ho3 Ho 0.375 0.126 0.125
Er1 Er 0.250 0.584 0.916
Er2 Er 0.500 0.333 0.667
```


[9]
Os3SO | PBE-GGA | optimized geometry

Calculated values
The calculation puts the offset from the most stable computed form at 0.000 eV/f.u. Its total DFT energy (no corrections) is -7.10 eV per atom.

```
data_Os3SO
_cell_length_a 4.104
_cell_length_b 4.104
_cell_length_c 4.104
_cell_angle_alpha 90.00
_cell_angle_beta 90.00
_cell_angle_gamma 90.00
_space_group_name_H-M_alt 'P m -3 m'
_space_group_IT_number 221
_space_group_name_Hall '-P 4 2 3'
loop_
_atom_site_label
_atom_site_type_symbol
_atom_site_fract_x
_atom_site_fract_y
_atom_site_fract_z
Os1 Os 0.000 0.000 0.500
S1 S 0.500 0.500 0.500
O1 O 0.000 0.000 0.000
```


[10]
AsRu2Se | PBE-GGA | optimized geometry

Calculated values
The calculation puts the offset from the most stable computed form at 0.543 eV/f.u. Its total DFT energy (no corrections) is -6.58 eV per atom.

```
data_AsRu2Se
_cell_length_a 2.9927
_cell_length_b 2.9927
_cell_length_c 28.8696
_cell_angle_alpha 90.00
_cell_angle_beta 90.00
_cell_angle_gamma 120.00
_space_group_name_H-M_alt 'R 3 m'
_space_group_IT_number 160
_space_group_name_Hall 'R 3 -2"'
loop_
_atom_site_label
_atom_site_type_symbol
_atom_site_fract_x
_atom_site_fract_y
_atom_site_fract_z
As1 As 0.0000 0.0000 0.0000
Ru1 Ru 0.0000 0.0000 0.4735
Ru2 Ru 0.0000 0.0000 0.7282
Se1 Se 0.0000 0.0000 0.1998
```


[11]
TaSbHPd2 | PBE-GGA | optimized geometry

Calculated values
Its total DFT energy (no corrections) is -6.07 eV per atom.

```
data_TaSbHPd2
_cell_length_a 4.087
_cell_length_b 4.087
_cell_length_c 4.327
_cell_angle_alpha 90.00
_cell_angle_beta 90.00
_cell_angle_gamma 90.00
_space_group_name_H-M_alt 'P 4/m m m'
_space_group_IT_number 123
_space_group_name_Hall '-P 4 2'
loop_
_atom_site_label
_atom_site_type_symbol
_atom_site_fract_x
_atom_site_fract_y
_atom_site_fract_z
Ta1 Ta 0.000 0.000 0.000
Sb1 Sb 0.500 0.500 0.000
H1 H 0.000 0.000 0.500
Pd1 Pd 0.000 0.500 0.500
```


[12]
HoSi2Se6 | PBE-GGA | optimized geometry

Calculated values
Its total DFT energy (no corrections) is -4.69 eV per atom.

```
data_HoSi2Se6
_cell_length_a 12.609
_cell_length_b 12.028
_cell_length_c 6.517
_cell_angle_alpha 90.00
_cell_angle_beta 98.79
_cell_angle_gamma 90.00
_space_group_name_H-M_alt 'C 1 2/c 1'
_space_group_IT_number 15
loop_
_space_group_symop_operation_xyz
'x,y,z'
'-x,-y,-z'
'-x,y,-z+1/2'
'x,-y,z+1/2'
'x+1/2,y+1/2,z'
'-x+1/2,-y+1/2,-z'
'-x+1/2,y+1/2,-z+1/2'
'x+1/2,-y+1/2,z+1/2'
loop_
_atom_site_label
_atom_site_type_symbol
_atom_site_fract_x
_atom_site_fract_y
_atom_site_fract_z
Ho1 Ho 0.000 0.115 0.250
Si1 Si 0.202 0.425 0.312
Se1 Se 0.114 0.086 0.660
Se2 Se 0.136 0.417 0.626
Se3 Se 0.137 0.277 0.116
```


[13]
Tb5ErSe6 | PBE-GGA | optimized geometry

Calculated values
Its total DFT energy (no corrections) is -5.81 eV per atom.

```
data_Tb5ErSe6
_cell_length_a 7.075
_cell_length_b 12.294
_cell_length_c 7.059
_cell_angle_alpha 90.00
_cell_angle_beta 109.64
_cell_angle_gamma 90.00
_space_group_name_H-M_alt 'C 1 2/m 1'
_space_group_IT_number 12
loop_
_space_group_symop_operation_xyz
'x,y,z'
'-x,-y,-z'
'-x,y,-z'
'x,-y,z'
'x+1/2,y+1/2,z'
'-x+1/2,-y+1/2,-z'
'-x+1/2,y+1/2,-z'
'x+1/2,-y+1/2,z'
loop_
_atom_site_label
_atom_site_type_symbol
_atom_site_fract_x
_atom_site_fract_y
_atom_site_fract_z
Tb1 Tb 0.000 0.000 0.000
Tb2 Tb 0.000 0.167 0.500
Tb3 Tb 0.000 0.330 0.000
Er1 Er 0.000 0.500 0.500
Se1 Se 0.246 0.500 0.251
Se2 Se 0.247 0.335 0.747
```


[14]
LaY2Os2 | PBE-GGA | optimized geometry

Calculated values
The calculation puts the energy of formation at -0.017 eV/atom. The calculation puts the offset from the most stable computed form at 0.000 eV/f.u. Its total DFT energy (no corrections) is -8.08 eV per atom.

```
data_LaY2Os2
_cell_length_a 8.107
_cell_length_b 8.107
_cell_length_c 3.546
_cell_angle_alpha 90.00
_cell_angle_beta 90.00
_cell_angle_gamma 90.00
_space_group_name_H-M_alt 'P 4/m b m'
_space_group_IT_number 127
_space_group_name_Hall '-P 4 2ab'
loop_
_atom_site_label
_atom_site_type_symbol
_atom_site_fract_x
_atom_site_fract_y
_atom_site_fract_z
La1 La 0.000 0.000 0.000
Y1 Y 0.142 0.358 0.500
Os1 Os 0.155 0.655 0.000
```


[15]
PrCo5C2 | PBE-GGA | optimized geometry

Calculated values
The calculation puts the energy of formation at 0.110 eV/atom. Its total DFT energy (no corrections) is -7.23 eV per atom.

```
data_PrCo5C2
_cell_length_a 3.503
_cell_length_b 6.057
_cell_length_c 8.343
_cell_angle_alpha 90.00
_cell_angle_beta 90.00
_cell_angle_gamma 90.00
_space_group_name_H-M_alt 'I m m m'
_space_group_IT_number 71
_space_group_name_Hall '-I 2 2'
loop_
_atom_site_label
_atom_site_type_symbol
_atom_site_fract_x
_atom_site_fract_y
_atom_site_fract_z
Pr1 Pr 0.000 0.000 0.000
Co1 Co 0.000 0.192 0.337
Co2 Co 0.000 0.500 0.000
C1 C 0.000 0.500 0.231
```


[16]
GaAuS2Cl | PBE-GGA | optimized geometry

Calculated values
The calculation puts the offset from the most stable computed form at 0.000 eV/f.u. Its total DFT energy (no corrections) is -2.97 eV per atom.

```
data_GaAuS2Cl
_cell_length_a 4.861
_cell_length_b 4.861
_cell_length_c 5.151
_cell_angle_alpha 90.00
_cell_angle_beta 90.00
_cell_angle_gamma 90.00
_space_group_name_H-M_alt 'P 4/m m m'
_space_group_IT_number 123
_space_group_name_Hall '-P 4 2'
loop_
_atom_site_label
_atom_site_type_symbol
_atom_site_fract_x
_atom_site_fract_y
_atom_site_fract_z
Ga1 Ga 0.000 0.000 0.000
Au1 Au 0.500 0.500 0.500
S1 S 0.000 0.500 0.500
Cl1 Cl 0.500 0.500 0.000
```


[17]
Cu4Si | PBE-GGA | optimized geometry

Calculated values
The calculation puts the offset from the most stable computed form at 1.348 eV/f.u. Its total DFT energy (no corrections) is -4.15 eV per atom.

```
data_Cu4Si
_cell_length_a 5.337
_cell_length_b 5.337
_cell_length_c 5.337
_cell_angle_alpha 90.00
_cell_angle_beta 90.00
_cell_angle_gamma 90.00
_space_group_name_H-M_alt 'I m -3 m'
_space_group_IT_number 229
_space_group_name_Hall '-I 4 2 3'
loop_
_atom_site_label
_atom_site_type_symbol
_atom_site_fract_x
_atom_site_fract_y
_atom_site_fract_z
Cu1 Cu 0.250 0.250 0.250
Si1 Si 0.000 0.000 0.000
```


[18]
NbCd | PBE-GGA | optimized geometry

Calculated values
The calculation puts the energy of formation at 1.023 eV/atom. Its total DFT energy (no corrections) is -4.47 eV per atom.

```
data_NbCd
_cell_length_a 5.596
_cell_length_b 5.596
_cell_length_c 5.596
_cell_angle_alpha 90.00
_cell_angle_beta 90.00
_cell_angle_gamma 90.00
_space_group_name_H-M_alt 'F m -3 m'
_space_group_IT_number 225
_space_group_name_Hall '-F 4 2 3'
loop_
_atom_site_label
_atom_site_type_symbol
_atom_site_fract_x
_atom_site_fract_y
_atom_site_fract_z
Nb1 Nb 0.000 0.000 0.000
Cd1 Cd 0.000 0.000 0.500
```


[19]
KSr2SnPd | PBE-GGA | optimized geometry

Calculated values
The calculation puts the energy of formation at -0.354 eV/atom. Its total DFT energy (no corrections) is -3.09 eV per atom.

```
data_KSr2SnPd
_cell_length_a 6.018
_cell_length_b 6.018
_cell_length_c 5.246
_cell_angle_alpha 90.00
_cell_angle_beta 90.00
_cell_angle_gamma 90.00
_space_group_name_H-M_alt 'P 4/m m m'
_space_group_IT_number 123
_space_group_name_Hall '-P 4 2'
loop_
_atom_site_label
_atom_site_type_symbol
_atom_site_fract_x
_atom_site_fract_y
_atom_site_fract_z
K1 K 0.000 0.000 0.000
Sr1 Sr 0.000 0.500 0.500
Sn1 Sn 0.500 0.500 0.000
Pd1 Pd 0.500 0.500 0.500
```


[20]
TlSiNi2 | PBE-GGA | optimized geometry

Calculated values
The calculation puts the offset from the most stable computed form at 0.123 eV/f.u. Its total DFT energy (no corrections) is -4.87 eV per atom.

```
data_TlSiNi2
_cell_length_a 3.161
_cell_length_b 3.214
_cell_length_c 6.148
_cell_angle_alpha 90.00
_cell_angle_beta 90.00
_cell_angle_gamma 90.00
_space_group_name_H-M_alt 'P m m 2'
_space_group_IT_number 25
loop_
_space_group_symop_operation_xyz
'x,y,z'
'-x,-y,z'
'-x,y,z'
'x,-y,z'
loop_
_atom_site_label
_atom_site_type_symbol
_atom_site_fract_x
_atom_site_fract_y
_atom_site_fract_z
Tl1 Tl 0.000 0.000 0.000
Si1 Si 0.000 0.500 0.478
Ni1 Ni 0.500 0.000 0.381
Ni2 Ni 0.500 0.500 0.735
```